The following is a PBE calculation of a relaxed CsAcAgS2 crystal, from the Alexandria database.

```
CsAcAgS2
1.0
-2.404 -4.630 0.209
2.622 -1.018 7.597
-7.626 4.028 1.516
S Ac Ag Cs
4 2 2 2
direct
0.653 0.226 0.535 S
0.653 0.774 0.965 S
0.347 0.774 0.465 S
0.347 0.226 0.035 S
0.492 0.000 0.250 Ac
0.508 0.000 0.750 Ac
0.000 0.000 0.000 Ag
0.000 0.000 0.500 Ag
0.860 0.500 0.250 Cs
0.140 0.500 0.750 Cs
```

Summary:
Uncorrected energy   -4.32 eV per atom
Total moment   0.00 μB/f.u.
Formation energy without anion corrections   -1.107 eV per atom

=====

The following is a PBE calculation of a relaxed ErSeCl crystal, from the Alexandria database.

```
ErSeCl
1.0
4.045 0.000 0.000
-2.023 3.503 0.000
0.000 0.000 6.752
Er Cl Se
1 1 1
direct
0.667 0.333 0.327 Er
0.333 0.667 0.560 Cl
0.000 0.000 0.114 Se
```

Summary:
Uncorrected energy   -5.28 eV per atom
Total moment   0.00 μB/f.u.
Formation energy without anion corrections   -1.980 eV per atom

=====

The following is a PBE calculation of a relaxed Sm6Er2TmSc crystal, from the Alexandria database.

```
Sm6Er2TmSc
1.0
0.571 4.799 -8.042
-4.629 -6.577 -3.612
-4.509 6.360 4.116
Sm Er Sc Tm
12 4 2 2
direct
0.948 0.878 0.235 Sm
0.693 0.998 0.561 Sm
0.886 0.291 0.511 Sm
0.807 0.439 0.002 Sm
0.552 0.765 0.122 Sm
0.307 0.002 0.439 Sm
0.386 0.511 0.291 Sm
0.114 0.709 0.489 Sm
0.614 0.489 0.709 Sm
0.052 0.122 0.765 Sm
0.448 0.235 0.878 Sm
0.193 0.561 0.998 Sm
0.548 0.203 0.302 Er
0.952 0.698 0.797 Er
0.048 0.302 0.203 Er
0.452 0.797 0.698 Er
0.250 0.418 0.582 Sc
0.750 0.582 0.418 Sc
0.750 0.026 0.974 Tm
0.250 0.974 0.026 Tm
```

Summary:
Uncorrected energy   -4.70 eV per atom
Total moment   0.00 μB/f.u.

=====

The following is a PBE calculation of a relaxed Ca3RhF crystal, from the Alexandria database.

```
Ca3RhF
1.0
4.790 0.000 0.000
0.000 4.790 0.000
0.000 0.000 4.790
Rh Ca F
1 3 1
direct
0.500 0.500 0.500 Rh
0.500 0.000 0.000 Ca
0.000 0.000 0.500 Ca
0.000 0.500 0.000 Ca
0.000 0.000 0.000 F
```

Summary:
Uncorrected energy   -4.16 eV per atom
Total moment   0.00 μB/f.u.
Formation energy without anion corrections   -1.118 eV per atom

=====

The following is a PBE calculation of a relaxed Ca2YW crystal, from the Alexandria database.

```
Ca2YW
1.0
5.857 -0.003 -0.012
-2.773 5.967 0.006
0.312 0.840 3.052
W Y Ca
1 1 2
direct
0.000 0.500 0.500 W
0.500 0.500 0.000 Y
0.000 0.000 0.000 Ca
0.500 0.000 0.500 Ca
```

Summary:
Uncorrected energy   -5.02 eV per atom
Total moment   0.00 μB/f.u.

=====

The following is a PBE calculation of a relaxed In2CuAgSn2S8 crystal, from the Alexandria database.

```
In2CuAgSn2S8
1.0
-2.407 1.970 6.957
-7.067 -2.178 -1.838
5.804 -4.875 -0.787
S In Ag Cu Sn
8 2 1 1 2
direct
0.013 0.746 0.267 S
0.013 0.746 0.733 S
0.493 0.736 0.244 S
0.493 0.249 0.756 S
0.013 0.280 0.267 S
0.492 0.249 0.243 S
0.479 0.746 0.733 S
0.006 0.249 0.757 S
0.251 0.500 0.751 In
0.748 0.500 0.249 In
0.882 0.882 0.000 Ag
0.617 0.117 0.500 Cu
0.250 0.000 0.750 Sn
0.250 0.500 0.250 Sn
```

Summary:
Uncorrected energy   -4.24 eV per atom
Total moment   0.00 μB/f.u.
Formation energy without anion corrections   -0.419 eV per atom

=====

The following is a PBE calculation of a relaxed Cr3SiW crystal, from the Alexandria database.

```
Cr3SiW
1.0
4.660 0.000 0.000
0.000 4.660 0.000
0.000 0.000 4.660
Cr W Si
3 1 1
direct
0.500 0.000 0.000 Cr
0.000 0.500 0.000 Cr
0.000 0.000 0.500 Cr
0.000 0.000 0.000 W
0.500 0.500 0.500 Si
```

Summary:
Uncorrected energy   -7.76 eV per atom
Total moment   7.95 μB/f.u.
Formation energy without anion corrections   1.686 eV per atom

=====

The following is a PBE calculation of a relaxed AlMoBr crystal, from the Alexandria database.

```
AlMoBr
1.0
-6.193 -1.520 -1.580
-4.960 -3.785 2.056
4.840 4.317 1.048
Al Mo Br
1 1 1
direct
0.045 0.045 0.000 Al
0.660 0.660 0.000 Mo
0.295 0.295 0.000 Br
```

Summary:
Uncorrected energy   -5.07 eV per atom
Total moment   0.00 μB/f.u.
Formation energy without anion corrections   0.350 eV per atom